(1)
Computed, not measured: crystalline La5PrTm at its relaxed geometry at the PBE level of DFT.

Cell and atoms, written as CIF:
```
data_La5PrTm
_space_group_name_H-M_alt 'P 1'
_space_group_IT_number 1
_space_group_name_Hall 'P 1'
_cell_length_a 9.482
_cell_length_b 9.482
_cell_length_c 9.203
_cell_angle_alpha 93.86
_cell_angle_beta 93.86
_cell_angle_gamma 141.22
loop_
_atom_site_label
_atom_site_type_symbol
_atom_site_fract_x
_atom_site_fract_y
_atom_site_fract_z
_atom_site_occupancy
La1 La 0.016 0.389 0.648 1
La2 La 0.142 0.858 0.750 1
La3 La 0.244 0.546 0.034 1
La4 La 0.389 0.016 0.148 1
La5 La 0.454 0.756 0.466 1
La6 La 0.546 0.244 0.534 1
La7 La 0.611 0.984 0.852 1
La8 La 0.756 0.454 0.966 1
La9 La 0.858 0.142 0.250 1
La10 La 0.984 0.611 0.352 1
Pr1 Pr 0.000 0.000 0.000 1
Pr2 Pr 0.000 0.000 0.500 1
Tm1 Tm 0.489 0.511 0.750 1
Tm2 Tm 0.511 0.489 0.250 1
```

Summary:
Formation enthalpy at 0 K = 0.151 eV per atom
Raw total energy = -32.83 eV per formula unit
SG = C2/c (15)


(2)
Computed, not measured: crystalline Os4Rh at its relaxed geometry at the PBE level of DFT.

Cell and atoms, written as CIF:
```
data_Os4Rh
_space_group_name_H-M_alt 'P 1'
_space_group_IT_number 1
_space_group_name_Hall 'P 1'
_cell_length_a 4.569
_cell_length_b 4.569
_cell_length_c 4.569
_cell_angle_alpha 90.00
_cell_angle_beta 90.00
_cell_angle_gamma 90.00
loop_
_atom_site_label
_atom_site_type_symbol
_atom_site_fract_x
_atom_site_fract_y
_atom_site_fract_z
_atom_site_occupancy
Os1 Os 0.000 0.000 0.000 1
Os2 Os 0.000 0.500 0.500 1
Os3 Os 0.500 0.000 0.500 1
Os4 Os 0.500 0.500 0.000 1
Rh1 Rh 0.500 0.500 0.500 1
```

Summary:
Formation enthalpy at 0 K = 2.909 eV per atom
E above lowest polymorph = 2799 meV/atom
Raw total energy = -37.72 eV per formula unit
SG = Pm-3m (221)


(3)
Computed, not measured: crystalline BPd2Au2 at its relaxed geometry at the PBE level of DFT.

Cell and atoms, written as CIF:
```
data_BPd2Au2
_space_group_name_H-M_alt 'P 1'
_space_group_IT_number 1
_space_group_name_Hall 'P 1'
_cell_length_a 7.421
_cell_length_b 7.421
_cell_length_c 7.421
_cell_angle_alpha 151.69
_cell_angle_beta 151.69
_cell_angle_gamma 40.47
loop_
_atom_site_label
_atom_site_type_symbol
_atom_site_fract_x
_atom_site_fract_y
_atom_site_fract_z
_atom_site_occupancy
B1 B 0.000 0.000 0.000 1
Pd1 Pd 0.409 0.409 0.000 1
Pd2 Pd 0.591 0.591 0.000 1
Au1 Au 0.250 0.750 0.500 1
Au2 Au 0.750 0.250 0.500 1
```

Summary:
Formation enthalpy at 0 K = 0.981 eV per atom
E above lowest polymorph = 949 meV/atom
Raw total energy = -18.71 eV per formula unit
SG = I4/mmm (139)


(4)
Computed, not measured: crystalline Ca3Ga2BiPd9 at its relaxed geometry at the PBE level of DFT.

Cell and atoms, written as CIF:
```
data_Ca3Ga2BiPd9
_space_group_name_H-M_alt 'P 1'
_space_group_IT_number 1
_space_group_name_Hall 'P 1'
_cell_length_a 6.552
_cell_length_b 6.552
_cell_length_c 9.279
_cell_angle_alpha 90.00
_cell_angle_beta 90.00
_cell_angle_gamma 120.00
loop_
_atom_site_label
_atom_site_type_symbol
_atom_site_fract_x
_atom_site_fract_y
_atom_site_fract_z
_atom_site_occupancy
Ca1 Ca 0.000 0.000 0.000 1
Ca2 Ca 0.333 0.667 0.733 1
Ca3 Ca 0.667 0.333 0.267 1
Ga1 Ga 0.333 0.667 0.171 1
Ga2 Ga 0.667 0.333 0.829 1
Bi1 Bi 0.000 0.000 0.500 1
Pd1 Pd 0.000 0.500 0.000 1
Pd2 Pd 0.140 0.280 0.262 1
Pd3 Pd 0.140 0.860 0.262 1
Pd4 Pd 0.280 0.140 0.738 1
Pd5 Pd 0.500 0.000 0.000 1
Pd6 Pd 0.500 0.500 0.000 1
Pd7 Pd 0.720 0.860 0.262 1
Pd8 Pd 0.860 0.140 0.738 1
Pd9 Pd 0.860 0.720 0.738 1
```

Summary:
Formation enthalpy at 0 K = -0.424 eV per atom
Raw total energy = -69.03 eV per formula unit
SG = P-3m1 (164)


(5)
Computed, not measured: crystalline RhBrOF2 at its relaxed geometry at the PBE level of DFT.

Cell and atoms, written as CIF:
```
data_RhBrOF2
_space_group_name_H-M_alt 'P 1'
_space_group_IT_number 1
_space_group_name_Hall 'P 1'
_cell_length_a 4.376
_cell_length_b 4.376
_cell_length_c 3.733
_cell_angle_alpha 90.00
_cell_angle_beta 90.00
_cell_angle_gamma 90.00
loop_
_atom_site_label
_atom_site_type_symbol
_atom_site_fract_x
_atom_site_fract_y
_atom_site_fract_z
_atom_site_occupancy
Rh1 Rh 0.000 0.000 0.000 1
Br1 Br 0.500 0.500 0.500 1
O1 O 0.000 0.000 0.500 1
F1 F 0.000 0.500 0.000 1
F2 F 0.500 0.000 0.000 1
```

Summary:
Formation energy from raw total energies = -43.5 kJ per mole of atoms
E above lowest polymorph = 0 meV/atom
Raw total energy = -19.98 eV per formula unit
SG = P4/mmm (123)


(6)
Computed, not measured: crystalline Er8HgSb2 at its relaxed geometry at the PBE level of DFT.

Cell and atoms, written as CIF:
```
data_Er8HgSb2
_space_group_name_H-M_alt 'P 1'
_space_group_IT_number 1
_space_group_name_Hall 'P 1'
_cell_length_a 9.791
_cell_length_b 9.791
_cell_length_c 6.872
_cell_angle_alpha 101.48
_cell_angle_beta 101.48
_cell_angle_gamma 29.20
loop_
_atom_site_label
_atom_site_type_symbol
_atom_site_fract_x
_atom_site_fract_y
_atom_site_fract_z
_atom_site_occupancy
Er1 Er 0.016 0.016 0.262 1
Er2 Er 0.215 0.215 0.840 1
Er3 Er 0.342 0.342 0.482 1
Er4 Er 0.407 0.407 0.016 1
Er5 Er 0.593 0.593 0.984 1
Er6 Er 0.658 0.658 0.518 1
Er7 Er 0.785 0.785 0.160 1
Er8 Er 0.984 0.984 0.738 1
Hg1 Hg 0.500 0.500 0.500 1
Sb1 Sb 0.180 0.180 0.268 1
Sb2 Sb 0.820 0.820 0.732 1
```

Summary:
Formation energy from raw total energies = -37.6 kJ per mole of atoms
Raw total energy = -49.34 eV per formula unit
SG = C2/m (12)


(7)
Computed, not measured: crystalline Pm2C3N6 at its relaxed geometry at the PBE level of DFT.

Cell and atoms, written as CIF:
```
data_Pm2C3N6
_space_group_name_H-M_alt 'P 1'
_space_group_IT_number 1
_space_group_name_Hall 'P 1'
_cell_length_a 7.670
_cell_length_b 7.670
_cell_length_c 5.325
_cell_angle_alpha 96.34
_cell_angle_beta 96.34
_cell_angle_gamma 29.86
loop_
_atom_site_label
_atom_site_type_symbol
_atom_site_fract_x
_atom_site_fract_y
_atom_site_fract_z
_atom_site_occupancy
Pm1 Pm 0.135 0.135 0.071 1
Pm2 Pm 0.865 0.865 0.929 1
C1 C 0.000 0.000 0.500 1
C2 C 0.328 0.328 0.406 1
C3 C 0.672 0.672 0.594 1
N1 N 0.010 0.010 0.733 1
N2 N 0.310 0.310 0.171 1
N3 N 0.343 0.343 0.636 1
N4 N 0.657 0.657 0.364 1
N5 N 0.690 0.690 0.829 1
N6 N 0.990 0.990 0.267 1
```

Summary:
Formation energy from raw total energies = -73.5 kJ per mole of atoms
Raw total energy = -95.51 eV per formula unit
SG = C2/m (12)


(8)
Computed, not measured: crystalline CeErZnRe at its relaxed geometry at the PBE level of DFT.

Cell and atoms, written as CIF:
```
data_CeErZnRe
_space_group_name_H-M_alt 'P 1'
_space_group_IT_number 1
_space_group_name_Hall 'P 1'
_cell_length_a 4.940
_cell_length_b 4.940
_cell_length_c 4.940
_cell_angle_alpha 60.00
_cell_angle_beta 60.00
_cell_angle_gamma 60.00
loop_
_atom_site_label
_atom_site_type_symbol
_atom_site_fract_x
_atom_site_fract_y
_atom_site_fract_z
_atom_site_occupancy
Ce1 Ce 0.000 0.000 0.000 1
Er1 Er 0.500 0.500 0.500 1
Zn1 Zn 0.750 0.750 0.750 1
Re1 Re 0.250 0.250 0.250 1
```

Summary:
Formation enthalpy at 0 K = -0.037 eV per atom
Raw total energy = -24.37 eV per formula unit
SG = F-43m (216)


(9)
Computed, not measured: crystalline Dy4HoTm3 at its relaxed geometry at the PBE level of DFT.

Cell and atoms, written as CIF:
```
data_Dy4HoTm3
_space_group_name_H-M_alt 'P 1'
_space_group_IT_number 1
_space_group_name_Hall 'P 1'
_cell_length_a 13.181
_cell_length_b 13.181
_cell_length_c 3.537
_cell_angle_alpha 90.00
_cell_angle_beta 90.00
_cell_angle_gamma 155.70
loop_
_atom_site_label
_atom_site_type_symbol
_atom_site_fract_x
_atom_site_fract_y
_atom_site_fract_z
_atom_site_occupancy
Dy1 Dy 0.103 0.897 0.000 1
Dy2 Dy 0.223 0.777 0.000 1
Dy3 Dy 0.777 0.223 0.000 1
Dy4 Dy 0.897 0.103 0.000 1
Ho1 Ho 0.000 0.000 0.500 1
Tm1 Tm 0.345 0.655 0.500 1
Tm2 Tm 0.500 0.500 0.000 1
Tm3 Tm 0.655 0.345 0.500 1
```

Summary:
Formation enthalpy at 0 K = 0.211 eV per atom
E above lowest polymorph = 209 meV/atom
Raw total energy = -34.71 eV per formula unit
SG = Cmmm (65)


(10)
Computed, not measured: crystalline LaTl3 at its relaxed geometry at the PBE level of DFT.

Cell and atoms, written as CIF:
```
data_LaTl3
_space_group_name_H-M_alt 'P 1'
_space_group_IT_number 1
_space_group_name_Hall 'P 1'
_cell_length_a 4.011
_cell_length_b 4.011
_cell_length_c 7.513
_cell_angle_alpha 90.00
_cell_angle_beta 90.00
_cell_angle_gamma 90.00
loop_
_atom_site_label
_atom_site_type_symbol
_atom_site_fract_x
_atom_site_fract_y
_atom_site_fract_z
_atom_site_occupancy
La1 La 0.000 0.000 0.000 1
Tl1 Tl 0.000 0.000 0.500 1
Tl2 Tl 0.500 0.500 0.264 1
Tl3 Tl 0.500 0.500 0.736 1
```

Summary:
Formation enthalpy at 0 K = -0.191 eV per atom
Raw total energy = -12.79 eV per formula unit
SG = P4/mmm (123)


(11)
Computed, not measured: crystalline SmGaCo at its relaxed geometry at the PBE level of DFT.

Cell and atoms, written as CIF:
```
data_SmGaCo
_space_group_name_H-M_alt 'P 1'
_space_group_IT_number 1
_space_group_name_Hall 'P 1'
_cell_length_a 5.532
_cell_length_b 5.532
_cell_length_c 6.938
_cell_angle_alpha 125.01
_cell_angle_beta 125.01
_cell_angle_gamma 43.11
loop_
_atom_site_label
_atom_site_type_symbol
_atom_site_fract_x
_atom_site_fract_y
_atom_site_fract_z
_atom_site_occupancy
Sm1 Sm 0.065 0.065 0.310 1
Sm2 Sm 0.935 0.935 0.690 1
Ga1 Ga 0.303 0.303 0.903 1
Ga2 Ga 0.697 0.697 0.097 1
Co1 Co 0.364 0.364 0.320 1
Co2 Co 0.636 0.636 0.680 1
```

Summary:
Formation enthalpy at 0 K = -0.406 eV per atom
Raw total energy = -16.07 eV per formula unit
SG = C2/m (12)


(12)
Computed, not measured: crystalline AlBPt2Cl at its relaxed geometry at the PBE level of DFT.

Cell and atoms, written as CIF:
```
data_AlBPt2Cl
_space_group_name_H-M_alt 'P 1'
_space_group_IT_number 1
_space_group_name_Hall 'P 1'
_cell_length_a 4.670
_cell_length_b 4.670
_cell_length_c 4.751
_cell_angle_alpha 90.00
_cell_angle_beta 90.00
_cell_angle_gamma 90.00
loop_
_atom_site_label
_atom_site_type_symbol
_atom_site_fract_x
_atom_site_fract_y
_atom_site_fract_z
_atom_site_occupancy
Al1 Al 0.000 0.000 0.000 1
B1 B 0.500 0.500 0.500 1
Pt1 Pt 0.000 0.500 0.000 1
Pt2 Pt 0.500 0.000 0.000 1
Cl1 Cl 0.000 0.000 0.500 1
```

Summary:
Formation energy from raw total energies = 110.0 kJ per mole of atoms
Raw total energy = -18.65 eV per formula unit
SG = P4/mmm (123)


Look up the raw total energy of the eleventh one. -16.07 eV per formula unit


Number 8 is which compound? CeErZnRe


Among the records above, which one has the lowest raw total energy? Pm2C3N6